A geometry-optimized YRhF2 structure. Source: Alexandria via LeMat-Bulk, functional PBE.

a = 7.7358 Å, b = 7.7358 Å, c = 7.7358 Å
α = 22.93°, β = 22.93°, γ = 22.93°
With the nearest neighbours (Å) after each atom.
Element x y z (fractional)
Y 0.0000 0.0000 0.0000  6 F 2.39
Rh 0.5000 0.5000 0.5000  2 F 2.16
F 0.4044 0.4044 0.4044  1 Rh 2.16, 3 Y 2.39
F 0.5956 0.5956 0.5956  1 Rh 2.16, 3 Y 2.39

Computed properties:
As for the energy above the lowest structure with this stoichiometry: 435 meV per atom. For the calculated total energy, the calculation gives -5.938 eV per atom. The uncorrected formation energy comes out at -1.55 eV per atom. Its space-group type is No. 166.

A geometry-optimized CsYNb2 structure. Source: Alexandria via LeMat-Bulk, functional PBE.

a = 5.1930 Å, b = 5.1930 Å, c = 5.1930 Å
α = 60.00°, β = 60.00°, γ = 60.00°
With the nearest neighbours (Å) after each atom.
Element x y z (fractional)
Cs 0.0000 0.0000 0.0000  8 Nb 3.18
Y 0.5000 0.5000 0.5000  8 Nb 3.18
Nb 0.2500 0.2500 0.2500  4 Y 3.18, 4 Cs 3.18
Nb 0.7500 0.7500 0.7500  4 Y 3.18, 4 Cs 3.18

Computed properties:
As for the energy above the lowest structure with this stoichiometry: 84 meV per atom. For the calculated total energy, the calculation gives -5.213 eV per atom. The calculation puts the energy of formation from the pure elements at 1.65 eV/atom. Its space-group type is No. 225.

A geometry-optimized InAg2Pb structure. Source: Alexandria via LeMat-Bulk, functional PBE.

a = 5.0942 Å, b = 5.0942 Å, c = 5.0942 Å
α = 60.00°, β = 60.00°, γ = 60.00°
With the nearest neighbours (Å) after each atom.
Element x y z (fractional)
In 0.0000 0.0000 0.0000  4 Pb 3.12, 4 Ag 3.12
Ag 0.2500 0.2500 0.2500  4 In 3.12, 4 Ag 3.12
Ag 0.5000 0.5000 0.5000  4 Pb 3.12, 4 Ag 3.12
Pb 0.7500 0.7500 0.7500  4 In 3.12, 4 Ag 3.12

Computed properties:
For the calculated total energy, the calculation gives -2.874 eV per atom. The calculation puts the energy of formation from the pure elements at 0.16 eV/atom. Its space-group type is No. 216.

A geometry-optimized CdBrO2 structure. Source: Alexandria via LeMat-Bulk, functional PBE.

a = 4.3317 Å, b = 4.3317 Å, c = 4.3317 Å
α = 60.00°, β = 60.00°, γ = 60.00°
With the nearest neighbours (Å) after each atom.
Element x y z (fractional)
Cd 0.0000 0.0000 0.0000  8 O 2.65
Br 0.5000 0.5000 0.5000  8 O 2.65
O 0.2500 0.2500 0.2500  4 Cd 2.65, 4 Br 2.65
O 0.7500 0.7500 0.7500  4 Br 2.65, 4 Cd 2.65

Computed properties:
As for the energy above the lowest structure with this stoichiometry: 940 meV per atom. For the calculated total energy, the calculation gives -2.628 eV per atom. The uncorrected formation energy comes out at 0.50 eV per atom. Its space-group type is No. 225.

A geometry-optimized HfTaNb6 structure. Source: Alexandria via LeMat-Bulk, functional PBE.

a = 5.9194 Å, b = 5.9194 Å, c = 5.9194 Å
α = 110.66°, β = 110.66°, γ = 110.66°
With the nearest neighbours (Å) after each atom.
Element x y z (fractional)
Hf 0.0000 0.0000 0.0000  2 Ta 2.78, 6 Nb 2.88
Ta 0.5000 0.5000 0.5000  2 Hf 2.78, 6 Nb 2.82
Nb 0.2519 0.2519 0.7459  6 Nb 2.78-2.99, 1 Ta 2.82, 1 Hf 2.88
Nb 0.2519 0.7459 0.2519  6 Nb 2.78-2.99, 1 Ta 2.82, 1 Hf 2.88
Nb 0.2541 0.7481 0.7481  6 Nb 2.78-2.99, 1 Ta 2.82, 1 Hf 2.88
Nb 0.7459 0.2519 0.2519  6 Nb 2.78-2.99, 1 Ta 2.82, 1 Hf 2.88
Nb 0.7481 0.2541 0.7481  6 Nb 2.78-2.99, 1 Ta 2.82, 1 Hf 2.88
Nb 0.7481 0.7481 0.2541  6 Nb 2.78-2.99, 1 Ta 2.82, 1 Hf 2.88

Computed properties:
As for the energy above the lowest structure with this stoichiometry: 190 meV per atom. For the calculated total energy, the calculation gives -10.072 eV per atom. The calculation puts the energy of formation from the pure elements at 0.21 eV/atom. Its space-group type is No. 166.

A geometry-optimized CsGe4I12 structure. Source: Alexandria via LeMat-Bulk, functional PBE.

a = 9.6453 Å, b = 9.6453 Å, c = 9.6453 Å
α = 109.47°, β = 109.47°, γ = 109.47°
With the nearest neighbours (Å) after each atom.
Element x y z (fractional)
Cs 0.0000 0.0000 0.0000  12 I 3.99
Ge 0.0000 0.0000 0.5000  6 I 2.94
Ge 0.0000 0.5000 0.0000  6 I 2.94
Ge 0.5000 0.0000 0.0000  6 I 2.94
Ge 0.5000 0.5000 0.5000  6 I 2.94
I 0.1184 0.8126 0.3058  2 Ge 2.94
I 0.1874 0.3058 0.4932  2 Ge 2.94
I 0.1874 0.6942 0.8816  2 Ge 2.94
I 0.3058 0.1184 0.8126  2 Ge 2.94
I 0.3058 0.4932 0.1874  2 Ge 2.94
I 0.4932 0.1874 0.3058  2 Ge 2.94
I 0.5068 0.8126 0.6942  2 Ge 2.94
I 0.6942 0.5068 0.8126  2 Ge 2.94
I 0.6942 0.8816 0.1874  2 Ge 2.94
I 0.8126 0.3058 0.1184  2 Ge 2.94
I 0.8126 0.6942 0.5068  2 Ge 2.94
I 0.8816 0.1874 0.6942  2 Ge 2.94

Computed properties:
For the calculated total energy, the calculation gives -2.520 eV per atom. The uncorrected formation energy comes out at -0.29 eV per atom. Its space-group type is No. 204.

A geometry-optimized Y2ScTc structure. Source: Alexandria via LeMat-Bulk, functional PBE.

a = 6.6280 Å, b = 6.6280 Å, c = 6.6280 Å
α = 101.74°, β = 101.74°, γ = 126.38°
With the nearest neighbours (Å) after each atom.
Element x y z (fractional)
Y 0.0583 0.6250 0.9333  2 Tc 2.70
Y 0.3750 0.3083 0.4333  2 Tc 2.70
Y 0.6917 0.1250 0.0667  2 Tc 2.70
Y 0.8750 0.9417 0.5667  2 Tc 2.70
Sc 0.2500 0.7500 0.5000  2 Tc 2.99
Sc 0.5000 0.5000 0.0000  2 Tc 2.99
Tc 0.0000 0.0000 0.0000  4 Y 2.70, 2 Sc 2.99
Tc 0.7500 0.2500 0.5000  4 Y 2.70, 2 Sc 2.99

Computed properties:
As for the energy above the lowest structure with this stoichiometry: 509 meV per atom. For the calculated total energy, the calculation gives -7.004 eV per atom. The calculation puts the energy of formation from the pure elements at 0.40 eV/atom. Its space-group type is No. 122.

A geometry-optimized CaSbAs3 structure. Source: Alexandria via LeMat-Bulk, functional PBE.

a = 5.2869 Å, b = 5.2869 Å, c = 5.2869 Å
α = 90.00°, β = 90.00°, γ = 90.00°
With the nearest neighbours (Å) after each atom.
Element x y z (fractional)
Ca 0.0000 0.0000 0.0000  12 As 3.74
Sb 0.5000 0.5000 0.5000  6 As 2.64
As 0.0000 0.5000 0.5000  2 Sb 2.64
As 0.5000 0.0000 0.5000  2 Sb 2.64
As 0.5000 0.5000 0.0000  2 Sb 2.64

Computed properties:
As for the energy above the lowest structure with this stoichiometry: 0 meV per atom. For the calculated total energy, the calculation gives -3.723 eV per atom. The uncorrected formation energy comes out at 0.29 eV per atom. Its space-group type is No. 221.

A geometry-optimized Pm8GeTe3Se4 structure. Source: Alexandria via LeMat-Bulk, functional PBE.

a = 8.6262 Å, b = 8.6262 Å, c = 8.6262 Å
α = 60.13°, β = 60.13°, γ = 60.13°
With the nearest neighbours (Å) after each atom.
Element x y z (fractional)
Pm 0.2260 0.7570 0.7570  3 Se 2.95-3.14, 1 Ge 2.97, 2 Te 3.16
Pm 0.2395 0.2395 0.2395  3 Se 2.93, 3 Te 3.19
Pm 0.2430 0.2430 0.7740  3 Se 2.95-3.14, 1 Ge 2.97, 2 Te 3.16
Pm 0.2430 0.7740 0.2430  3 Se 2.95-3.14, 1 Ge 2.97, 2 Te 3.16
Pm 0.7570 0.2260 0.7570  3 Se 2.95-3.14, 1 Ge 2.97, 2 Te 3.16
Pm 0.7570 0.7570 0.2260  3 Se 2.95-3.14, 1 Ge 2.97, 2 Te 3.16
Pm 0.7605 0.7605 0.7605  3 Se 2.93, 3 Te 3.19
Pm 0.7740 0.2430 0.2430  3 Se 2.95-3.14, 1 Ge 2.97, 2 Te 3.16
Ge 0.0000 0.0000 0.0000  6 Pm 2.97
Te 0.0000 0.5000 0.5000  6 Pm 3.16-3.19
Te 0.5000 0.0000 0.5000  6 Pm 3.16-3.19
Te 0.5000 0.5000 0.0000  6 Pm 3.16-3.19
Se 0.0000 0.0000 0.5000  6 Pm 2.93-2.95
Se 0.0000 0.5000 0.0000  6 Pm 2.93-2.95
Se 0.5000 0.0000 0.0000  6 Pm 2.93-2.95
Se 0.5000 0.5000 0.5000  6 Pm 3.14

Computed properties:
For the calculated total energy, the calculation gives -5.715 eV per atom. The uncorrected formation energy comes out at -1.59 eV per atom. Its space-group type is No. 166.

A geometry-optimized Li6Cd5Cu structure. Source: Alexandria via LeMat-Bulk, functional PBE.

a = 7.8675 Å, b = 7.8675 Å, c = 4.5910 Å
α = 105.05°, β = 105.05°, γ = 50.66°
With the nearest neighbours (Å) after each atom.
Element x y z (fractional)
Li 0.0792 0.6007 0.3374  1 Cu 2.71, 7 Cd 2.80-2.91
Li 0.2311 0.7689 0.0000  2 Cu 2.77, 6 Cd 2.78-2.92, 2 Li 3.10
Li 0.3993 0.9208 0.6626  1 Cu 2.71, 7 Cd 2.80-2.91
Li 0.6007 0.0792 0.3374  1 Cu 2.71, 7 Cd 2.80-2.91
Li 0.7689 0.2311 0.0000  2 Cu 2.77, 6 Cd 2.78-2.92, 2 Li 3.10
Li 0.9208 0.3993 0.6626  1 Cu 2.71, 7 Cd 2.80-2.91
Cd 0.1693 0.1693 0.1737  8 Li 2.78-2.91
Cd 0.3341 0.3341 0.8327  8 Li 2.87-2.90, 2 Cd 3.16-3.17
Cd 0.5000 0.5000 0.5000  8 Li 2.80-2.92
Cd 0.6659 0.6659 0.1673  8 Li 2.87-2.90, 2 Cd 3.16-3.17
Cd 0.8307 0.8307 0.8263  8 Li 2.78-2.91
Cu 0.0000 0.0000 0.5000  8 Li 2.71-2.77

Computed properties:
For the calculated total energy, the calculation gives -1.876 eV per atom. The calculation puts the energy of formation from the pure elements at -0.20 eV/atom. Its space-group type is No. 12.